# LaPbSe

A relaxed LaPbSe crystal (PBE-GGA, Alexandria).

D(E_F), states/eV per atom: 0.39
ΔE to the lowest computed polymorph, kJ/mol of formula units: 55
Spin magnetization, μB per formula unit: 0.000

The structure in POSCAR format:
```
LaPbSe
1.0
6.629 0.056 -0.061
5.351 3.913 -0.020
1.277 0.382 3.838
La Pb Se
1 1 1
Direct
0.041 0.041 0.959
0.353 0.353 0.647
0.606 0.606 0.394
```